Record 1
Compound: TeOsRh
Source: the Alexandria database
Functional: PBE
Structure: optimized geometry

space-group type = P3m1, No. 156
formation energy from raw total energies = 53.6 kJ/mol of atoms

Cell lengths 4.3097, 4.3097, 3.2301 Å; angles 90.00, 90.00, 120.00 degrees
Closest atoms and distances in Å follow each position.
Sites, in units of the cell vectors:
Te: 0.3333 0.6667 0.7047  3 Os 2.58, 3 Rh 2.70
Os: 0.0000 0.0000 0.9115  3 Te 2.58
Rh: 0.6667 0.3333 0.3838  3 Te 2.70, 6 Os 2.92-3.02

Record 2
Compound: MgInRe2
Source: the Alexandria database
Functional: PBE
Structure: optimized geometry

space-group type = Cmmm, No. 65
formation energy = 0.565 eV per atom

Cell lengths 2.7767, 2.7767, 9.3180 Å; angles 90.00, 90.00, 109.78 degrees
Closest atoms and distances in Å follow each position.
Sites, in units of the cell vectors:
In: 0.5000 0.5000 0.2500  4 In 2.78, 4 Re 2.85
Mg: 0.5000 0.5000 0.7500  4 Mg 2.78, 4 Re 2.80
Re: 0.0000 0.0000 0.9970  4 Re 2.78, 2 Mg 2.80, 2 In 2.85
Re: 0.0000 0.0000 0.5030  4 Re 2.78, 2 Mg 2.80, 2 In 2.85

Record 3
Compound: GaSnIO2
Source: the Alexandria database
Functional: PBE
Structure: optimized geometry

space-group type = P4/mmm, No. 123
formation energy from raw total energies = -49.0 kJ/mol of atoms

Cell lengths 4.1498, 4.1498, 6.2999 Å; angles 90.00, 90.00, 90.00 degrees
Closest atoms and distances in Å follow each position.
Sites, in units of the cell vectors:
I: 0.0000 0.0000 0.5000  4 Ga 2.93, 2 Sn 3.15
O: 0.0000 0.5000 0.0000  2 Sn 2.07
O: 0.5000 0.0000 0.0000  2 Sn 2.07
Sn: 0.0000 0.0000 0.0000  4 O 2.07
Ga: 0.5000 0.5000 0.5000  4 I 2.93

The evaluated ΔE to the lowest computed polymorph for the records listed, in turn: 0.205; 0.421; 0.000 eV per atom.
The evaluated total magnetic moment for the records listed, in turn: 0.0; 0.0; 0.0 μB/f.u..